Entry 1:
Material: SrMn2Os
Method: DFT, GGA-PBE
State: optimized geometry

Results
Final energy, eV per atom: -6.91
Energy relative to the lowest polymorph listed for this composition, eV per atom: 0.558
Formation energy from the elements, eV/atom: 0.904

a = 4.788 Å, b = 4.788 Å, c = 3.036 Å
α = 90.00°, β = 90.00°, γ = 90.00°
Space group P4/mmm (No. 123)
Asymmetric unit:
Sr1 0.000 0.000 0.000 x1
Mn1 0.000 0.500 0.500 x2
Os1 0.500 0.500 0.000 x1


Entry 2:
Material: SrMn2Os
Method: DFT, GGA-PBE
State: optimized geometry

Results
Final energy, eV per atom: -7.03
Energy relative to the lowest polymorph listed for this composition, eV per atom: 0.434
Formation energy from the elements, eV/atom: 0.780

a = 3.024 Å, b = 5.299 Å, c = 10.248 Å
α = 90.00°, β = 90.00°, γ = 90.00°
Space group Immm (No. 71)
Asymmetric unit:
Sr1 0.000 0.000 0.000 x2
Mn1 0.000 0.500 0.202 x4
Os1 0.000 0.000 0.500 x2